The following is a DFT calculation (PBE) of a relaxed La3Ho2Er5 crystal.

The structure in POSCAR format:
```
La3Ho2Er5
1.0
5.324 -8.147 0.000
5.324 8.147 0.000
-5.307 0.000 7.671
La Ho Er
6 4 10
direct
0.017 0.269 0.045
0.236 0.764 0.750
0.269 0.017 0.545
0.731 0.983 0.455
0.764 0.236 0.250
0.983 0.731 0.955
0.234 0.464 0.455
0.464 0.234 0.955
0.536 0.766 0.045
0.766 0.536 0.545
0.026 0.974 0.750
0.153 0.373 0.773
0.275 0.725 0.250
0.373 0.153 0.273
0.470 0.530 0.250
0.530 0.470 0.750
0.627 0.847 0.727
0.725 0.275 0.750
0.847 0.627 0.227
0.974 0.026 0.250
```

Output
energy of formation from the pure elements: 0.19 eV/atom
space-group type: No. 15

The following is a DFT calculation (PBE) of a relaxed Pr6Te3AsS2 crystal.

The structure in POSCAR format:
```
Pr6Te3AsS2
1.0
3.720 -6.443 0.000
3.720 6.443 0.000
-2.485 0.000 7.326
Pr Te As S
6 3 1 2
direct
0.091 0.429 0.787
0.232 0.232 0.211
0.429 0.091 0.787
0.571 0.909 0.213
0.768 0.768 0.789
0.909 0.571 0.213
0.000 0.000 0.500
0.336 0.664 0.500
0.664 0.336 0.500
0.500 0.500 0.000
0.167 0.833 0.000
0.833 0.167 0.000
```

Output
space-group type: No. 12
E_form (uncorrected): -1677 meV per atom

The following is a DFT calculation (PBE) of a relaxed NaTaZn crystal.

The structure in POSCAR format:
```
NaTaZn
1.0
5.007 0.000 0.000
-2.504 4.336 0.000
0.000 0.000 2.676
Na Ta Zn
1 1 1
direct
0.000 0.000 0.000
0.667 0.333 0.500
0.333 0.667 0.500
```

Output
energy of formation from the pure elements: 0.82 eV/atom
space-group type: No. 187

The following is a DFT calculation (PBE) of a relaxed LiCe2Ge3Pd4 crystal.

The structure in POSCAR format:
```
LiCe2Ge3Pd4
1.0
4.279 0.000 0.000
0.000 4.279 0.000
0.000 0.000 10.300
Li Ce Ge Pd
1 2 3 4
direct
0.000 0.000 0.000
0.000 0.500 0.751
0.500 0.000 0.249
0.000 0.500 0.367
0.500 0.000 0.633
0.500 0.500 0.000
0.000 0.000 0.500
0.000 0.500 0.128
0.500 0.000 0.872
0.500 0.500 0.500
```

Output
energy of formation from the pure elements: -0.76 eV/atom
space-group type: No. 115

The following is a DFT calculation (PBE) of a relaxed Li3Y2Tl4 crystal.

The structure in POSCAR format:
```
Li3Y2Tl4
1.0
3.224 -8.119 0.000
3.224 8.119 0.000
0.000 0.000 8.015
Li Y Tl
6 4 8
direct
0.000 0.000 0.000
0.022 0.478 0.250
0.478 0.022 0.750
0.500 0.500 0.500
0.522 0.978 0.250
0.978 0.522 0.750
0.109 0.891 0.415
0.391 0.609 0.915
0.609 0.391 0.085
0.891 0.109 0.585
0.175 0.825 0.033
0.197 0.303 0.250
0.303 0.197 0.750
0.325 0.675 0.533
0.675 0.325 0.467
0.697 0.803 0.250
0.803 0.697 0.750
0.825 0.175 0.967
```

Output
energy of formation from the pure elements: -0.26 eV/atom
space-group type: No. 64

The following is a DFT calculation (PBE) of a relaxed Tb2Ga4Ni3Pt crystal.

The structure in POSCAR format:
```
Tb2Ga4Ni3Pt
1.0
4.004 0.000 0.000
0.000 4.004 0.000
0.000 0.000 10.558
Tb Ga Ni Pt
2 4 3 1
direct
0.000 0.500 0.239
0.500 0.000 0.761
0.000 0.000 0.000
0.000 0.500 0.641
0.500 0.000 0.359
0.500 0.500 0.000
0.000 0.500 0.866
0.500 0.000 0.134
0.500 0.500 0.500
0.000 0.000 0.500
```

Output
energy of formation from the pure elements: -0.68 eV/atom
space-group type: No. 115

What density of states at the Fermi level values result from the calculations? In sequence: 33.82 4.56 3.35 14.00 11.27 5.25 states/eV/cell.
What energy values result from the calculations? In sequence: -4.481 -5.928 -4.000 -5.601 -3.388 -5.155 eV per atom.